{"formula": "HoCu3Cl9", "functional": "PBE", "state": "relaxed", "lattice_angstrom": [[-6.1901, 3.1482, -2.7443], [-8.3316, -4.3007, 3.7002], [-3.9563, 7.6220, 7.5086]], "species": ["Ho", "Ho", "Cu", "Cu", "Cu", "Cu", "Cu", "Cu", "Cl", "Cl", "Cl", "Cl", "Cl", "Cl", "Cl", "Cl", "Cl", "Cl", "Cl", "Cl", "Cl", "Cl", "Cl", "Cl", "Cl", "Cl"], "fractional_positions": [[0.0095, 0.5014, 0.9944], [0.4947, 0.0014, 0.4944], [0.7930, 0.5444, 0.6627], [0.0000, 0.0444, 0.1627], [0.9704, 0.9525, 0.8341], [0.2430, 0.4525, 0.3341], [0.5466, 0.2600, 0.7303], [0.4631, 0.7600, 0.2303], [0.3488, 0.2110, 0.3273], [0.1129, 0.7110, 0.8273], [0.3840, 0.3290, 0.9221], [0.3649, 0.8290, 0.4221], [0.1685, 0.0693, 0.6767], [0.0854, 0.5693, 0.1767], [0.6370, 0.6917, 0.0416], [0.6297, 0.1917, 0.5416], [0.8527, 0.9175, 0.3404], [0.8893, 0.4175, 0.8404], [0.6481, 0.7853, 0.6561], [0.9105, 0.2853, 0.1561], [0.4966, 0.5318, 0.3166], [0.6550, 0.0318, 0.8166], [0.5488, 0.4821, 0.6398], [0.3293, 0.9821, 0.1398], [0.8814, 0.9815, 0.0357], [0.1014, 0.4815, 0.5357]], "dos_ef_per_ev_fu": 7.1, "mass_density_g_cm3": 3.0, "formation_energy_uncorrected_ev_per_fu": -12.5, "spacegroup": "No. 9"}


{"formula": "SrPCl2", "functional": "PBE", "state": "relaxed", "lattice_angstrom": [[-0.3939, 3.6050, -4.2883], [1.6424, -3.0669, -2.7291], [-3.4205, -3.5580, -2.6769]], "species": ["Cl", "Cl", "P", "Sr"], "fractional_positions": [[0.0000, 0.8737, 0.9829], [0.5000, 0.2405, 0.1507], [0.0000, 0.3916, 0.6219], [0.5000, 0.9943, 0.7446]], "mass_density_g_cm3": 2.6, "formation_energy_uncorrected_ev_per_fu": -4.2, "spacegroup": "No. 6"}


{"formula": "Ho2ThAgHg4", "functional": "PBE", "state": "relaxed", "lattice_angstrom": [[5.0255, 0.0000, 0.0000], [2.5128, 4.3522, 0.0000], [2.5128, 1.4507, 9.2052]], "species": ["Ho", "Ho", "Th", "Ag", "Hg", "Hg", "Hg", "Hg"], "fractional_positions": [[0.7609, 0.7609, 0.7174], [0.2391, 0.2391, 0.2826], [0.0000, 0.0000, 0.0000], [0.5000, 0.5000, 0.5000], [0.3824, 0.3824, 0.8528], [0.8725, 0.8725, 0.3824], [0.1275, 0.1275, 0.6176], [0.6176, 0.6176, 0.1472]], "dos_ef_per_ev_fu": 5.8, "mass_density_g_cm3": 12.1, "total_energy_ev_per_atom": -2.880, "spacegroup": "No. 166"}


{"formula": "Hf2ScInC", "functional": "PBE", "state": "relaxed", "lattice_angstrom": [[-0.8648, 4.2638, 1.2158], [-4.0222, -0.2333, -2.0429], [-1.8735, -1.4799, 3.8576]], "species": ["Sc", "C", "Hf", "Hf", "In"], "fractional_positions": [[0.0000, 0.0000, 0.5000], [0.0000, 0.0000, 0.0000], [0.0000, 0.5000, 0.0000], [0.5000, 0.0000, 0.0000], [0.5000, 0.5000, 0.5000]], "dos_ef_per_ev_fu": 2.4, "mass_density_g_cm3": 9.5, "total_energy_ev_per_atom": -8.190, "spacegroup": "No. 123"}


{"formula": "NdDy3Mg", "functional": "PBE", "state": "relaxed", "lattice_angstrom": [[-1.0948, -3.3989, -0.9715], [-0.7896, -3.4134, 5.7845], [-12.2364, 3.5810, 1.2754]], "species": ["Nd", "Nd", "Dy", "Dy", "Dy", "Dy", "Dy", "Dy", "Mg", "Mg"], "fractional_positions": [[0.2342, 0.5322, 0.7582], [0.7658, 0.4678, 0.2418], [0.1496, 0.7006, 0.4422], [0.3660, 0.2674, 0.0234], [0.0365, 0.9273, 0.1874], [0.8504, 0.2994, 0.5578], [0.9635, 0.0727, 0.8126], [0.6340, 0.7326, 0.9766], [0.5550, 0.8899, 0.6233], [0.4450, 0.1101, 0.3767]], "dos_ef_per_ev_fu": 6.6, "mass_density_g_cm3": 7.1, "total_energy_ev_per_atom": -4.049, "spacegroup": "No. 12"}


{"formula": "RbMg2Cu2", "functional": "PBE", "state": "relaxed", "lattice_angstrom": [[8.5111, 0.0000, 0.0000], [0.0000, 8.5111, 0.0000], [0.0000, 0.0000, 3.0225]], "species": ["Mg", "Mg", "Mg", "Mg", "Cu", "Cu", "Cu", "Cu", "Rb", "Rb"], "fractional_positions": [[0.3758, 0.8758, 0.0000], [0.8758, 0.6242, 0.0000], [0.6242, 0.1242, 0.0000], [0.1242, 0.3758, 0.0000], [0.1601, 0.6601, 0.5000], [0.6601, 0.8399, 0.5000], [0.8399, 0.3399, 0.5000], [0.3399, 0.1601, 0.5000], [0.0000, 0.0000, 0.0000], [0.5000, 0.5000, 0.0000]], "dos_ef_per_ev_fu": 2.0, "mass_density_g_cm3": 4.0, "total_energy_ev_per_atom": -2.236, "spacegroup": "No. 127"}


{"formula": "AcPmRhBr", "functional": "PBE", "state": "relaxed", "lattice_angstrom": [[-2.9766, -2.9352, 0.4187], [3.2689, -0.6727, -2.5518], [5.0255, -1.1314, 6.7385]], "species": ["Ac", "Pm", "Rh", "Br"], "fractional_positions": [[0.5106, 0.1532, 0.6789], [0.1013, 0.9487, 0.0654], [0.3121, 0.5539, 0.8813], [0.9539, 0.3750, 0.3441]], "dos_ef_per_ev_fu": 0.2, "mass_density_g_cm3": 7.4, "formation_energy_uncorrected_ev_per_fu": -4.4, "spacegroup": "No. 160"}


{"formula": "ErZrFeRh", "functional": "PBE", "state": "relaxed", "lattice_angstrom": [[4.6536, 0.0000, 0.0000], [2.3268, 4.0301, 0.0000], [2.3268, 1.3434, 3.7996]], "species": ["Rh", "Fe", "Zr", "Er"], "fractional_positions": [[0.0000, 0.0000, 0.0000], [0.5000, 0.5000, 0.5000], [0.7500, 0.7500, 0.7500], [0.2500, 0.2500, 0.2500]], "dos_ef_per_ev_fu": 2.3, "mass_density_g_cm3": 9.7, "total_energy_ev_per_atom": -7.643, "spacegroup": "No. 216"}